Computed, not measured: an optimized crystal structure of Sr4CrRu at the GGA-PBE level of DFT.

* ΔE_f: 1.32 eV per atom
* energy: -2.955 eV per atom

abc: 9.4667 9.4667 9.4667
angles: 90.00 90.00 90.00
Last column: nearest neighbours and their distance in Å.
Space group F-43m (No. 216)
Inequivalent atoms, fractional coordinates:
Sr 0.1242 0.1242 0.3758 [16 per cell]  6 Sr 3.33-3.37
Cr 0.0000 0.0000 0.0000 [4 per cell]  12 Sr 3.93, 4 Ru 4.10
Ru 0.2500 0.2500 0.7500 [4 per cell]  12 Sr 3.92, 4 Cr 4.10


Computed, not measured: an optimized crystal structure of BaErPdO4 at the GGA-PBE level of DFT.

* energy: -6.538 eV per atom
* ΔE_f (raw): -14.3 eV per formula unit

abc: 6.6883 6.9418 10.1762
angles: 90.00 90.00 90.00
Last column: nearest neighbours and their distance in Å.
Space group Imma (No. 74)
Inequivalent atoms, fractional coordinates:
Ba 0.0000 0.2500 0.1400 [4 per cell]  4 O 2.42-2.57
Er 0.0000 0.0000 0.5000 [4 per cell]  6 O 2.23-2.34
Pd 0.2500 0.2500 0.7500 [4 per cell]  4 O 2.13
O 0.0000 0.0643 0.7260 [8 per cell]  2 Pd 2.13, 1 Er 2.34
O 0.2102 0.2500 0.5024 [8 per cell]  2 Er 2.23, 1 Ba 2.42